Material: Nb4Tl2Se7
Method: DFT, PBE
State: optimized geometry

Values from the calculation:
- formation energy (no corrections) (meV/atom) = -410
- N(E_F) (states/eV/atom) = 0.51

Unit cell a=6.328 b=6.328 c=9.008 alpha=90.00 beta=90.00 gamma=120.00
Positions (direct):
Se  0.000  0.390  0.298
Tl  0.333  0.667  0.000
Nb  0.000  0.000  0.354
Se  0.390  0.390  0.702
Se  0.610  0.000  0.702
Se  0.610  0.610  0.298
Nb  0.000  0.000  0.646
Se  0.000  0.610  0.702
Nb  0.667  0.333  0.500
Nb  0.333  0.667  0.500
Tl  0.667  0.333  0.000
Se  0.390  0.000  0.298
Se  0.000  0.000  0.000